Record 1
Density functional theory data (PBE) for a relaxed structure of LaTb2NdHo.

a b c (Å): 7.201 7.201 7.226
angles (deg): 90.00 90.00 107.80
Element x y z (fractional)
La 0.234 0.766 0.750
La 0.766 0.234 0.250
Tb 0.187 0.187 0.000
Tb 0.187 0.187 0.500
Tb 0.813 0.813 0.000
Tb 0.813 0.813 0.500
Nd 0.497 0.503 0.750
Nd 0.503 0.497 0.250
Ho 0.220 0.780 0.250
Ho 0.780 0.220 0.750

Formation energy from the elements   0.36 eV per atom
Space group   Cmcm, No. 63
DFT total energy   -43.47 eV/cell
N(E_F)   8.5 states/eV/f.u.


Record 2
Density functional theory data (PBE) for a relaxed structure of Li2PmPd2.

a b c (Å): 4.843 4.843 5.213
angles (deg): 90.00 90.00 120.00
Element x y z (fractional)
Li 0.333 0.667 0.132
Li 0.667 0.333 0.868
Pm 0.000 0.000 0.500
Pd 0.333 0.667 0.638
Pd 0.667 0.333 0.362

Formation energy from the elements   -0.41 eV per atom
Space group   P-3m1, No. 164
DFT total energy   -20.99 eV/cell
N(E_F)   3.1 states/eV/f.u.


Record 3
Density functional theory data (PBE) for a relaxed structure of PmMnCrSb.

a b c (Å): 4.678 4.678 4.678
angles (deg): 60.00 60.00 60.00
Element x y z (fractional)
Pm 0.000 0.000 0.000
Mn 0.750 0.750 0.750
Cr 0.250 0.250 0.250
Sb 0.500 0.500 0.500

Space group   F-43m, No. 216
DFT total energy   -26.97 eV/cell


Record 4
Density functional theory data (PBE) for a relaxed structure of TcSbI3.

a b c (Å): 5.408 5.408 5.408
angles (deg): 90.00 90.00 90.00
Element x y z (fractional)
Tc 0.000 0.000 0.000
Sb 0.500 0.500 0.500
I 0.000 0.000 0.500
I 0.000 0.500 0.000
I 0.500 0.000 0.000

Space group   Pm-3m, No. 221
DFT total energy   -16.19 eV/cell
N(E_F)   4.5 states/eV/f.u.


Record 5
Density functional theory data (PBE) for a relaxed structure of NaCuGe2.

a b c (Å): 4.619 4.619 4.619
angles (deg): 60.00 60.00 60.00
Element x y z (fractional)
Na 0.000 0.000 0.000
Cu 0.500 0.500 0.500
Ge 0.250 0.250 0.250
Ge 0.750 0.750 0.750

Formation energy from the elements   0.19 eV per atom
Space group   Fm-3m, No. 225
DFT total energy   -13.89 eV/cell
N(E_F)   0.5 states/eV/f.u.


Record 6
Density functional theory data (PBE) for a relaxed structure of LaNi2AgGe.

a b c (Å): 4.739 4.739 5.645
angles (deg): 90.00 90.00 90.00
Element x y z (fractional)
La 0.000 0.000 0.000
Ni 0.000 0.500 0.000
Ni 0.500 0.000 0.000
Ag 0.000 0.000 0.500
Ge 0.500 0.500 0.500

Formation energy from the elements   1.17 eV per atom
Space group   P4/mmm, No. 123
DFT total energy   -18.09 eV/cell
N(E_F)   3.8 states/eV/f.u.


Record 7
Density functional theory data (PBE) for a relaxed structure of Na3SrSb.

a b c (Å): 5.989 5.989 5.989
angles (deg): 90.00 90.00 90.00
Element x y z (fractional)
Na 0.000 0.000 0.500
Na 0.000 0.500 0.000
Na 0.500 0.000 0.000
Sr 0.500 0.500 0.500
Sb 0.000 0.000 0.000

Space group   Pm-3m, No. 221
DFT total energy   -10.29 eV/cell
N(E_F)   0.0 states/eV/f.u.


Record 8
Density functional theory data (PBE) for a relaxed structure of Pr2Ho4Ge3H2.

a b c (Å): 12.290 12.290 12.290
angles (deg): 158.51 158.51 30.57
Element x y z (fractional)
Pr 0.200 0.200 0.000
Pr 0.800 0.800 0.000
Ho 0.079 0.579 0.500
Ho 0.421 0.921 0.500
Ho 0.579 0.079 0.500
Ho 0.921 0.421 0.500
Ge 0.332 0.332 0.000
Ge 0.500 0.500 0.000
Ge 0.668 0.668 0.000
H 0.095 0.095 0.000
H 0.905 0.905 0.000

Space group   I4/mmm, No. 139
DFT total energy   -55.26 eV/cell
N(E_F)   10.6 states/eV/f.u.